Record 1
# AlTl2Re

A geometry-optimized AlTl2Re structure (GGA-PBE, Alexandria via LeMat-Bulk).

Structure (extended XYZ):
```
4
Lattice="3.152 0.000 0.000 0.000 3.152 0.000 0.000 0.000 8.902" Properties=species:S:1:pos:R:3 pbc="T T T"
Re 1.576 1.576 6.303
Tl 0.000 0.000 8.402
Tl 1.576 1.576 2.528
Al 0.000 0.000 5.022
```

Calculated values
As for the space group: P4mm.

---

Record 2
# AlTlRe2

A geometry-optimized AlTlRe2 structure (GGA-PBE, Alexandria via LeMat-Bulk).

Structure (extended XYZ):
```
4
Lattice="3.213 0.000 0.000 0.000 3.213 0.000 0.000 0.000 6.764" Properties=species:S:1:pos:R:3 pbc="T T T"
Re 0.000 0.000 6.311
Re 0.000 0.000 3.835
Tl 1.607 1.607 1.691
Al 1.607 1.607 5.073
```

Calculated values
As for the space group: P4/mmm.

---

Record 3
# AlTl2Re

A geometry-optimized AlTl2Re structure (GGA-PBE, Alexandria via LeMat-Bulk).

Structure (extended XYZ):
```
8
Lattice="10.491 0.000 0.000 0.000 10.491 0.000 5.246 5.246 2.429" Properties=species:S:1:pos:R:3 pbc="T T T"
Re 0.000 0.000 0.000
Re 10.491 5.246 1.215
Tl 10.477 2.623 0.607
Tl 10.505 7.868 0.607
Tl 7.868 5.259 1.822
Tl 13.114 5.232 1.822
Al 5.246 5.246 0.000
Al 5.246 10.491 1.215
```

Calculated values
As for the space group: I-42d.

---

Record 4
# AlTlRe2

A geometry-optimized AlTlRe2 structure (GGA-PBE, Alexandria via LeMat-Bulk).

Structure (extended XYZ):
```
4
Lattice="0.000 3.199 3.199 3.199 0.000 3.199 3.199 3.199 0.000" Properties=species:S:1:pos:R:3 pbc="T T T"
Re 1.599 1.599 1.599
Re 4.798 4.798 4.798
Tl 3.199 3.199 3.199
Al 0.000 0.000 0.000
```

Calculated values
As for the space group: Fm-3m.

---

Sequential E output: -4.77, -7.14, -4.53, -6.93 eV/atom
Sequential distance to the lowest polymorph of the same formula output: 0.012, 0.403, 0.253, 0.618 eV/atom
Sequential V output: 88.4, 69.8, 267.4, 65.5 Å³/cell